Ho3Ge2Rh5: relaxed, PBE.

Lattice parameters (Å, degrees): 3.6617 9.9231 9.9231 90.00 90.00 90.00
Sites, in units of the cell vectors:
Ho 0.0000 0.3270 0.8270
Ho 0.0000 0.6730 0.1730
Ho 0.0000 0.1730 0.3270
Ho 0.0000 0.8270 0.6730
Ho 0.0000 0.0000 0.0000
Ho 0.0000 0.5000 0.5000
Ge 0.0000 0.1237 0.6237
Ge 0.0000 0.8763 0.3763
Ge 0.0000 0.3763 0.1237
Ge 0.0000 0.6237 0.8763
Rh 0.5000 0.2158 0.0700
Rh 0.5000 0.7842 0.9300
Rh 0.5000 0.9300 0.2158
Rh 0.5000 0.0700 0.7842
Rh 0.5000 0.2842 0.5700
Rh 0.5000 0.7158 0.4300
Rh 0.5000 0.5700 0.7158
Rh 0.5000 0.4300 0.2842
Rh 0.5000 0.0000 0.5000
Rh 0.5000 0.5000 0.0000


La4NdGa5: relaxed, PBE.

Lattice parameters (Å, degrees): 3.7521 3.7521 18.8386 90.00 90.00 90.00
Sites, in units of the cell vectors:
La 0.0000 0.0000 0.1977
La 0.0000 0.0000 0.3993
La 0.0000 0.0000 0.6007
La 0.0000 0.0000 0.8023
Nd 0.0000 0.0000 0.0000
Ga 0.5000 0.5000 0.0951
Ga 0.5000 0.5000 0.2985
Ga 0.5000 0.5000 0.5000
Ga 0.5000 0.5000 0.7015
Ga 0.5000 0.5000 0.9049


K4Ta3CdO12: relaxed, PBE.

Calculated values
Uncorrected formation energy, eV per atom: -2.085

Lattice parameters (Å, degrees): 7.1392 7.1392 7.1392 109.47 109.47 109.47
Site moments in Bohr magnetons follow the coordinates.
Sites, in units of the cell vectors:
K 0.5000 0.5000 0.5000  0.00
K 0.0000 0.0000 0.5000  0.00
K 0.5000 0.0000 0.0000  0.00
K 0.0000 0.5000 0.0000  0.00
Ta 0.5000 0.0000 0.5000  -0.05
Ta 0.5000 0.5000 0.0000  -0.05
Ta 0.0000 0.5000 0.5000  -0.05
Cd 0.0000 0.0000 0.0000  0.06
O 0.2500 0.5000 0.7500  0.18
O 0.7326 0.0000 0.7326  0.19
O 0.2674 0.0000 0.2674  0.19
O 0.7500 0.5000 0.2500  0.18
O 0.7326 0.7326 0.0000  0.19
O 0.2674 0.2674 0.0000  0.19
O 0.7500 0.2500 0.5000  0.18
O 0.2500 0.7500 0.5000  0.18
O 0.5000 0.2500 0.7500  0.18
O 0.0000 0.7326 0.7326  0.19
O 0.5000 0.7500 0.2500  0.18
O 0.0000 0.2674 0.2674  0.19


| no. | total DFT energy (no corrections) (eV per atom) |
| --- | --- |
| 1 | -6.8468 |
| 2 | -4.5280 |
| 3 | -7.1029 |